Entry 1:
## LiFeGe2O6 (PBE with a Hubbard U)

Data for LiFeGe2O6 after structural relaxation.

Results
The calculation puts the energy relative to the lowest polymorph listed for this composition at 0.0059 eV/atom. Its space group is C2/c.

Cell lengths 6.7625, 6.7625, 5.5990 Å; angles 74.31, 74.31, 80.25 degrees
Each line ends with the local moment (μB).
Fractional positions:
Ge 0.3802 0.1943 0.7464  0.02
O 0.6093 0.6732 0.5804  0.01
Fe 0.9054 0.0946 0.7500  4.36
O 0.0821 0.6336 0.2138  0.11
Li 0.7242 0.2758 0.2500  0.00
O 0.9179 0.3664 0.7862  0.11
O 0.6732 0.6093 0.0804  0.01
Ge 0.1943 0.3802 0.2464  0.02
O 0.0127 0.1944 0.3540  0.12
O 0.3907 0.3268 0.4196  0.01
O 0.3268 0.3907 0.9196  0.01
O 0.3664 0.9179 0.2862  0.11
O 0.1944 0.0127 0.8540  0.12
Ge 0.8057 0.6198 0.7536  0.02
Fe 0.0946 0.9054 0.2500  4.36
O 0.6336 0.0821 0.7138  0.11
O 0.8056 0.9873 0.1460  0.12
Ge 0.6198 0.8057 0.2536  0.02
O 0.9873 0.8056 0.6460  0.12
Li 0.2758 0.7242 0.7500  0.00

Entry 2:
## LiFeGe2O6 (PBE with a Hubbard U)

Data for LiFeGe2O6 after structural relaxation.

Results
The calculation puts the energy relative to the lowest polymorph listed for this composition at 0.0000 eV/atom. Its space group is P2_1/c.

Cell lengths 8.9309, 5.4457, 9.7424 Å; angles 76.96, 90.00, 90.00 degrees
Each line ends with the local moment (μB).
Fractional positions:
Ge 0.8416 0.7336 0.0458  0.02
O 0.2076 0.0023 0.8829  0.01
O 0.4977 0.7451 0.3692  0.10
O 0.5202 0.8269 0.8843  0.10
Li 0.5090 0.4641 0.2552  0.00
Fe 0.3495 0.9632 0.2512  4.36
O 0.3323 0.6837 0.1414  0.12
O 0.6681 0.7555 0.6365  0.12
O 0.0023 0.2451 0.3692  0.10
O 0.9798 0.3269 0.8843  0.10
O 0.6889 0.1538 0.3885  0.01
O 0.7924 0.9977 0.1171  0.01
O 0.1681 0.7445 0.3635  0.12
Ge 0.6584 0.2336 0.0458  0.02
Ge 0.8395 0.3213 0.4482  0.02
Ge 0.1584 0.2664 0.9542  0.02
O 0.3319 0.2445 0.3635  0.12
Ge 0.3395 0.1787 0.5518  0.02
Li 0.9910 0.9641 0.2552  0.00
Li 0.0090 0.0359 0.7448  0.00
O 0.0202 0.6731 0.1157  0.10
O 0.3111 0.8462 0.6115  0.01
O 0.8319 0.2555 0.6365  0.12
O 0.7076 0.4977 0.1171  0.01
O 0.1889 0.3462 0.6115  0.01
O 0.5023 0.2549 0.6308  0.10
O 0.4798 0.1731 0.1157  0.10
Fe 0.6505 0.0368 0.7488  4.36
Ge 0.3416 0.7664 0.9542  0.02
O 0.1677 0.1837 0.1414  0.12
Fe 0.1505 0.4632 0.2512  4.36
O 0.8323 0.8163 0.8586  0.12
O 0.2924 0.5023 0.8829  0.01
O 0.6677 0.3163 0.8586  0.12
O 0.8111 0.6538 0.3885  0.01
Fe 0.8495 0.5368 0.7488  4.36
Ge 0.6605 0.8213 0.4482  0.02
Li 0.4910 0.5359 0.7448  0.00
Ge 0.1605 0.6787 0.5518  0.02
O 0.9977 0.7549 0.6308  0.10

Number 1: calculated total energy -6.358 eV/atom. Number 2: calculated total energy -6.363 eV/atom.